SrCu2 PBE optimized geometry; density of states at the Fermi level = 1.4 states/eV per cell; symmetry = Pa-3 (205); total magnetic moment = 0.000 μB/f.u.; energy of formation from the pure elements = 0.560 eV/atom; calculated total energy = -2.7314 eV per atom
1.0
7.043 0.000 0.000
0.000 7.043 0.000
0.000 0.000 7.043
Sr Cu
4 8
Cartesian
0.000 0.000 0.000
3.521 3.521 0.000
3.521 0.000 3.521
0.000 3.521 3.521
4.195 4.195 2.847
2.847 2.847 4.195
0.674 6.369 4.195
6.369 0.674 2.847
2.847 0.674 0.674
4.195 6.369 6.369
6.369 2.847 6.369
0.674 4.195 0.674